Here is a geometry-optimized LiTaTe2Se structure from Alexandria via LeMat-Bulk. Energies are from PBE.

Unit cell a=5.5714 b=5.5714 c=4.9208 alpha=90.00 beta=90.00 gamma=90.00
Fractional coordinates of all 5 atoms:
Li  0.0000  0.0000  0.0000
Ta  0.5000  0.5000  0.5000
Te  0.0000  0.5000  0.5000
Te  0.5000  0.0000  0.5000
Se  0.5000  0.5000  0.0000

uncorrected energy = -24.6 eV per formula unit
formation energy from raw total energies = -0.21 eV/atom

***

Here is a geometry-optimized CrH2I2 structure from Alexandria via LeMat-Bulk. Energies are from PBE.

Unit cell a=5.1124 b=7.3405 c=7.3676 alpha=93.28 beta=98.36 gamma=90.29
Fractional coordinates of all 10 atoms:
Cr  0.1149  0.0253  0.4175
Cr  0.8851  0.9747  0.5825
H  0.0143  0.1441  0.7592
H  0.0697  0.0484  0.8007
H  0.9303  0.9516  0.1993
H  0.9857  0.8559  0.2408
I  0.0531  0.7058  0.7857
I  0.4839  0.7680  0.3966
I  0.5161  0.2320  0.6034
I  0.9469  0.2942  0.2143

uncorrected energy = -19.6 eV per formula unit

***

Here is a geometry-optimized LaCeErCd structure from Alexandria via LeMat-Bulk. Energies are from PBE.

Unit cell a=7.7294 b=7.7294 c=7.7294 alpha=90.00 beta=90.00 gamma=90.00
Fractional coordinates of all 16 atoms:
La  0.0000  0.0000  0.0000
La  0.0000  0.5000  0.5000
La  0.5000  0.0000  0.5000
La  0.5000  0.5000  0.0000
Ce  0.2500  0.2500  0.7500
Ce  0.2500  0.7500  0.2500
Ce  0.7500  0.2500  0.2500
Ce  0.7500  0.7500  0.7500
Er  0.0000  0.0000  0.5000
Er  0.0000  0.5000  0.0000
Er  0.5000  0.0000  0.0000
Er  0.5000  0.5000  0.5000
Cd  0.2500  0.2500  0.2500
Cd  0.2500  0.7500  0.7500
Cd  0.7500  0.2500  0.7500
Cd  0.7500  0.7500  0.2500

uncorrected energy = -16.1 eV per formula unit

***

Here is a geometry-optimized ErTiCd2 structure from Alexandria via LeMat-Bulk. Energies are from PBE.

Unit cell a=7.0951 b=7.0951 c=7.0951 alpha=90.00 beta=90.00 gamma=90.00
Fractional coordinates of all 16 atoms:
Er  0.0000  0.0000  0.0000
Er  0.0000  0.5000  0.5000
Er  0.5000  0.0000  0.5000
Er  0.5000  0.5000  0.0000
Ti  0.0000  0.0000  0.5000
Ti  0.0000  0.5000  0.0000
Ti  0.5000  0.0000  0.0000
Ti  0.5000  0.5000  0.5000
Cd  0.2500  0.2500  0.2500
Cd  0.2500  0.2500  0.7500
Cd  0.2500  0.7500  0.2500
Cd  0.2500  0.7500  0.7500
Cd  0.7500  0.2500  0.2500
Cd  0.7500  0.2500  0.7500
Cd  0.7500  0.7500  0.2500
Cd  0.7500  0.7500  0.7500

uncorrected energy = -14.5 eV per formula unit
energy above the most stable polymorph in this dataset = 11 meV/atom